1.
# Dy2YIO8

Crystalline Dy2YIO8 at its relaxed geometry (GGA-PBE, Alexandria).

POSCAR file:
```
Dy2YIO8
1.0
5.028 -0.049 -0.003
-0.021 5.025 -0.006
0.004 0.008 6.842
Dy Y I O
2 1 1 8
Direct
0.500 0.500 0.748
0.500 0.500 0.252
0.000 0.000 0.500
0.000 0.000 0.000
0.180 0.819 0.207
0.731 0.731 0.000
0.820 0.181 0.207
0.820 0.181 0.793
0.269 0.269 0.000
0.180 0.819 0.793
0.691 0.691 0.500
0.309 0.309 0.500
```

Energy relative to the elements, uncorrected   -2.347 eV/atom
ρ   6.42 g/cm3
Calculated volume   14.40 A^3/atom



2.
# Dy4OsI5

Crystalline Dy4OsI5 at its relaxed geometry (GGA-PBE, Alexandria).

POSCAR file:
```
Dy4OsI5
1.0
-1.989 -2.895 -2.204
4.581 2.459 -7.365
6.676 -5.426 5.003
Dy Os I
4 1 5
Direct
0.360 0.928 0.721
0.000 0.796 0.000
0.640 0.072 0.279
0.000 0.204 0.000
0.500 0.000 0.000
0.832 0.661 0.664
0.825 0.166 0.649
0.175 0.834 0.351
0.500 0.500 0.000
0.168 0.339 0.336
```

Energy relative to the elements, uncorrected   -1.025 eV/atom
ρ   6.91 g/cm3
Calculated volume   35.46 A^3/atom



3.
# Dy7PI12

Crystalline Dy7PI12 at its relaxed geometry (GGA-PBE, Alexandria).

POSCAR file:
```
Dy7PI12
1.0
-6.999 -1.295 -6.558
-1.103 -6.698 6.899
-1.285 8.694 4.054
Dy P I
7 1 12
Direct
0.970 0.700 0.900
0.300 0.100 0.030
0.100 0.030 0.300
0.500 0.500 0.500
0.900 0.970 0.700
0.700 0.900 0.970
0.030 0.300 0.100
0.000 0.000 0.000
0.922 0.313 0.773
0.687 0.227 0.078
0.466 0.154 0.386
0.846 0.614 0.534
0.227 0.078 0.687
0.614 0.534 0.846
0.386 0.466 0.154
0.773 0.922 0.313
0.154 0.386 0.466
0.534 0.846 0.614
0.313 0.773 0.922
0.078 0.687 0.227
```

Energy relative to the elements, uncorrected   -1.326 eV/atom
ρ   6.08 g/cm3
Calculated volume   36.74 A^3/atom



4.
# Dy2PI2

Crystalline Dy2PI2 at its relaxed geometry (GGA-PBE, Alexandria).

POSCAR file:
```
Dy2PI2
1.0
4.037 0.000 0.747
1.949 3.535 0.747
-0.069 -0.041 11.661
Dy P I
2 1 2
Direct
0.623 0.623 0.130
0.377 0.377 0.870
0.000 0.000 0.000
0.230 0.230 0.309
0.770 0.770 0.691
```

Energy relative to the elements, uncorrected   -1.526 eV/atom
ρ   6.08 g/cm3
Calculated volume   33.33 A^3/atom



5.
# Dy3PI7

Crystalline Dy3PI7 at its relaxed geometry (GGA-PBE, Alexandria).

POSCAR file:
```
Dy3PI7
1.0
7.534 0.000 0.000
0.000 8.757 0.000
0.000 -4.379 7.584
Dy P I
3 1 7
Direct
0.770 0.495 0.505
0.770 0.495 0.989
0.770 0.011 0.505
0.611 0.333 0.667
0.012 0.170 0.830
0.012 0.170 0.340
0.016 0.667 0.333
0.547 0.830 0.170
0.547 0.340 0.170
0.547 0.830 0.660
0.012 0.660 0.830
```

Energy relative to the elements, uncorrected   -1.207 eV/atom
ρ   4.67 g/cm3
Calculated volume   45.49 A^3/atom



6.
# Pr2DyP2I2

Crystalline Pr2DyP2I2 at its relaxed geometry (GGA-PBE, Alexandria).

POSCAR file:
```
Pr2DyP2I2
1.0
-4.928 -1.006 1.522
-0.238 -3.994 -3.408
5.453 -2.679 6.812
Pr Dy P I
2 1 2 2
Direct
0.403 0.403 0.805
0.597 0.597 0.195
0.000 0.000 0.000
0.000 0.500 0.000
0.500 0.000 0.000
0.190 0.190 0.380
0.810 0.810 0.620
```

Energy relative to the elements, uncorrected   -1.171 eV/atom
ρ   5.48 g/cm3
Calculated volume   32.89 A^3/atom



7.
# PrDyPI

Crystalline PrDyPI at its relaxed geometry (GGA-PBE, Alexandria).

POSCAR file:
```
PrDyPI
1.0
4.133 -0.001 0.000
-2.066 3.580 0.000
-2.066 -1.193 7.619
Pr Dy P I
1 1 1 1
Direct
0.507 0.151 0.673
0.097 0.946 0.058
0.315 0.555 0.886
0.960 0.378 0.353
```

Energy relative to the elements, uncorrected   -1.345 eV/atom
ρ   6.80 g/cm3
Calculated volume   28.18 A^3/atom



8.
# DyPS4I

Crystalline DyPS4I at its relaxed geometry (GGA-PBE, Alexandria).

POSCAR file:
```
DyPS4I
1.0
-1.638 -4.193 5.324
5.794 0.208 3.872
-2.819 6.506 5.290
Dy P S I
2 2 8 2
Direct
0.200 0.200 0.933
0.800 0.800 0.067
0.604 0.604 0.767
0.396 0.396 0.233
0.314 0.314 0.448
0.686 0.686 0.552
0.163 0.518 0.098
0.575 0.575 0.278
0.482 0.837 0.902
0.518 0.163 0.098
0.425 0.425 0.722
0.837 0.482 0.902
0.026 0.026 0.237
0.974 0.974 0.763
```

Energy relative to the elements, uncorrected   -0.649 eV/atom
ρ   3.57 g/cm3
Calculated volume   29.82 A^3/atom



9.
# Dy6P2Se3I

Crystalline Dy6P2Se3I at its relaxed geometry (GGA-PBE, Alexandria).

POSCAR file:
```
Dy6P2Se3I
1.0
-1.713 -3.294 -1.704
6.904 -4.361 1.490
-3.890 0.283 8.262
Dy P Se I
6 2 3 1
Direct
0.319 0.879 0.638
0.671 0.572 0.343
0.681 0.121 0.362
0.013 0.287 0.026
0.987 0.713 0.974
0.329 0.428 0.657
0.830 0.661 0.661
0.170 0.339 0.339
0.500 0.500 0.000
0.842 0.161 0.685
0.158 0.839 0.315
0.500 0.000 0.000
```

Energy relative to the elements, uncorrected   -1.564 eV/atom
ρ   7.88 g/cm3
Calculated volume   24.58 A^3/atom



10.
# SmDyPI

Crystalline SmDyPI at its relaxed geometry (GGA-PBE, Alexandria).

POSCAR file:
```
SmDyPI
1.0
-4.021 0.532 0.546
1.889 -3.212 1.695
3.431 4.786 5.248
Sm Dy P I
1 1 1 1
Direct
0.507 0.152 0.675
0.096 0.946 0.058
0.311 0.553 0.879
0.963 0.380 0.358
```

Energy relative to the elements, uncorrected   -1.334 eV/atom
ρ   7.16 g/cm3
Calculated volume   27.29 A^3/atom



11.
# DyPaI

Crystalline DyPaI at its relaxed geometry (GGA-PBE, Alexandria).

POSCAR file:
```
DyPaI
1.0
-1.799 0.528 -4.968
3.199 -1.247 1.547
-5.362 -12.207 0.645
Dy Pa I
2 2 2
Direct
0.235 0.470 0.779
0.765 0.530 0.221
0.255 0.509 0.058
0.745 0.491 0.942
0.273 0.547 0.352
0.727 0.453 0.648
```

Energy relative to the elements, uncorrected   -0.463 eV/atom
ρ   9.13 g/cm3
Calculated volume   31.54 A^3/atom



12.
# Dy7PbI12

Crystalline Dy7PbI12 at its relaxed geometry (GGA-PBE, Alexandria).

POSCAR file:
```
Dy7PbI12
1.0
-0.329 4.875 8.488
7.357 -6.448 0.466
2.007 6.412 -7.126
Dy Pb I
7 1 12
Direct
0.957 0.667 0.886
0.333 0.114 0.043
0.114 0.043 0.333
0.500 0.500 0.500
0.886 0.957 0.667
0.667 0.886 0.957
0.043 0.333 0.114
0.000 0.000 0.000
0.922 0.310 0.770
0.690 0.230 0.078
0.472 0.156 0.393
0.844 0.607 0.528
0.230 0.078 0.690
0.607 0.528 0.844
0.393 0.472 0.156
0.770 0.922 0.310
0.156 0.393 0.472
0.528 0.844 0.607
0.310 0.770 0.922
0.078 0.690 0.230
```

Energy relative to the elements, uncorrected   -1.134 eV/atom
ρ   6.30 g/cm3
Calculated volume   37.81 A^3/atom



13.
# Dy4PbI5

Crystalline Dy4PbI5 at its relaxed geometry (GGA-PBE, Alexandria).

POSCAR file:
```
Dy4PbI5
1.0
4.304 0.000 0.000
0.000 8.972 -0.293
-2.152 -1.582 9.386
Dy Pb I
4 1 5
Direct
0.342 0.929 0.683
0.999 0.771 0.998
0.658 0.071 0.317
0.001 0.229 0.002
0.500 0.000 0.000
0.832 0.674 0.665
0.829 0.179 0.658
0.171 0.821 0.342
0.500 0.500 0.000
0.168 0.326 0.335
```

Energy relative to the elements, uncorrected   -0.984 eV/atom
ρ   6.87 g/cm3
Calculated volume   36.05 A^3/atom



14.
# DyPbI6

Crystalline DyPbI6 at its relaxed geometry (GGA-PBE, Alexandria).

POSCAR file:
```
DyPbI6
1.0
7.732 0.011 0.017
3.859 6.697 0.023
3.852 2.230 6.854
Dy Pb I
1 1 6
Direct
0.000 0.000 0.000
0.500 0.500 0.500
0.062 0.418 0.756
0.763 0.062 0.757
0.582 0.237 0.243
0.237 0.938 0.243
0.938 0.582 0.244
0.418 0.763 0.757
```

Energy relative to the elements, uncorrected   -0.809 eV/atom
ρ   5.31 g/cm3
Calculated volume   44.23 A^3/atom



15.
# PmDyPbI

Crystalline PmDyPbI at its relaxed geometry (GGA-PBE, Alexandria).

POSCAR file:
```
PmDyPbI
1.0
-5.229 1.387 1.045
-4.109 -3.227 -1.750
-2.951 -2.914 3.628
Pb I Pm Dy
1 1 1 1
Direct
0.750 0.750 0.750
0.250 0.250 0.250
0.000 0.000 0.000
0.500 0.500 0.500
```

Energy relative to the elements, uncorrected   -0.566 eV/atom
ρ   9.01 g/cm3
Calculated volume   29.57 A^3/atom



16.
# Dy2PdI2

Crystalline Dy2PdI2 at its relaxed geometry (GGA-PBE, Alexandria).

POSCAR file:
```
Dy2PdI2
1.0
-0.152 -3.484 -2.171
3.474 -1.955 -0.993
0.478 -7.966 8.861
Dy Pd I
2 1 2
Direct
0.621 0.621 0.136
0.379 0.379 0.864
0.000 0.000 0.000
0.227 0.227 0.319
0.773 0.773 0.681
```

Energy relative to the elements, uncorrected   -1.088 eV/atom
ρ   6.66 g/cm3
Calculated volume   34.16 A^3/atom



17.
# Dy3PdI3

Crystalline Dy3PdI3 at its relaxed geometry (GGA-PBE, Alexandria).

POSCAR file:
```
Dy3PdI3
1.0
9.978 0.000 -3.528
-4.989 8.641 -3.528
0.000 0.000 10.583
Dy Pd I
12 4 12
Direct
0.956 0.478 0.228
0.522 0.044 0.272
0.250 0.022 0.478
0.978 0.750 0.022
0.978 0.228 0.456
0.772 0.022 0.044
0.728 0.456 0.478
0.772 0.750 0.228
0.544 0.272 0.022
0.250 0.228 0.272
0.728 0.272 0.750
0.522 0.478 0.750
0.750 0.500 0.000
0.500 0.250 0.500
0.750 0.250 0.250
0.000 0.000 0.250
0.242 0.992 0.983
0.750 0.758 0.742
0.483 0.742 0.992
0.008 0.250 0.992
0.258 0.742 0.250
0.492 0.508 0.250
0.242 0.250 0.758
0.258 0.517 0.508
0.750 0.992 0.508
0.017 0.508 0.758
0.008 0.758 0.517
0.492 0.983 0.742
```

Energy relative to the elements, uncorrected   -1.038 eV/atom
ρ   7.09 g/cm3
Calculated volume   32.59 A^3/atom



18.
# Dy7PdI12

Crystalline Dy7PdI12 at its relaxed geometry (GGA-PBE, Alexandria).

POSCAR file:
```
Dy7PdI12
1.0
9.342 -0.167 -2.820
-3.752 8.557 -2.820
-0.111 -0.167 9.758
Dy Pd I
7 1 12
Direct
0.969 0.696 0.898
0.304 0.102 0.031
0.102 0.031 0.304
0.500 0.500 0.500
0.898 0.969 0.696
0.696 0.898 0.969
0.031 0.304 0.102
0.000 0.000 0.000
0.926 0.322 0.776
0.678 0.224 0.074
0.470 0.159 0.391
0.841 0.609 0.530
0.224 0.074 0.678
0.609 0.530 0.841
0.391 0.470 0.159
0.776 0.926 0.322
0.159 0.391 0.470
0.530 0.841 0.609
0.322 0.776 0.926
0.074 0.678 0.224
```

Energy relative to the elements, uncorrected   -1.203 eV/atom
ρ   6.01 g/cm3
Calculated volume   38.25 A^3/atom



19.
# PmDyI2

Crystalline PmDyI2 at its relaxed geometry (GGA-PBE, Alexandria).

POSCAR file:
```
PmDyI2
1.0
3.821 0.000 0.000
1.910 3.309 0.000
1.910 1.103 9.714
Pm Dy I
1 1 2
Direct
0.502 0.502 0.494
0.665 0.665 0.006
0.083 0.083 0.752
0.251 0.251 0.248
```

Energy relative to the elements, uncorrected   -0.754 eV/atom
ρ   7.59 g/cm3
Calculated volume   30.70 A^3/atom
Distance to the lowest polymorph of the same formula   0.0 meV per atom



20.
# Pm2DyI8

Crystalline Pm2DyI8 at its relaxed geometry (GGA-PBE, Alexandria).

POSCAR file:
```
Pm2DyI8
1.0
-5.849 -4.295 0.872
3.724 -0.876 10.118
-1.499 5.985 8.886
Pm Dy I
2 1 8
Direct
0.424 0.144 0.144
0.576 0.856 0.856
0.000 0.000 0.000
0.741 0.203 0.684
0.259 0.316 0.797
0.839 0.138 0.138
0.161 0.862 0.862
0.741 0.684 0.203
0.259 0.797 0.316
0.360 0.287 0.287
0.640 0.713 0.713
```

Energy relative to the elements, uncorrected   -1.230 eV/atom
ρ   3.90 g/cm3
Calculated volume   56.84 A^3/atom